Density functional theory data (GGA-PBEsol) for a relaxed structure of BaMnGa2.

Cell and atoms, written as POSCAR:
```
BaMnGa2
1.0
0.000 3.572 3.572
3.572 0.000 3.572
3.572 3.572 0.000
Ba Mn Ga
1 1 2
Direct
0.000 0.000 0.000
0.500 0.500 0.500
0.250 0.250 0.250
0.750 0.750 0.750
```

## Properties
- SG = No. 225
- calculated density (g/cm³) = 6.045
- DFT formation energy (eV per atom) = 0.202

Density functional theory data (GGA-PBEsol) for a relaxed structure of Ba6Ga5N.

Cell and atoms, written as POSCAR:
```
Ba6Ga5N
1.0
3.911 2.258 13.810
-3.911 2.258 13.810
0.000 -4.516 13.810
Ba Ga N
12 10 2
Direct
0.138 0.708 0.262
0.208 0.638 0.762
0.238 0.792 0.362
0.262 0.138 0.708
0.292 0.738 0.862
0.362 0.238 0.792
0.638 0.762 0.208
0.708 0.262 0.138
0.738 0.862 0.292
0.762 0.208 0.638
0.792 0.362 0.238
0.862 0.292 0.738
0.048 0.452 0.250
0.197 0.197 0.197
0.250 0.048 0.452
0.303 0.303 0.303
0.452 0.250 0.048
0.548 0.750 0.952
0.697 0.697 0.697
0.750 0.952 0.548
0.803 0.803 0.803
0.952 0.548 0.750
0.000 0.000 0.000
0.500 0.500 0.500
```

## Properties
- SG = No. 167
- calculated density (g/cm³) = 5.385
- formation energy without anion corrections (eV per formula unit) = -5.779

Density functional theory data (GGA-PBEsol) for a relaxed structure of Ba3Ga2N4.

Cell and atoms, written as POSCAR:
```
Ba3Ga2N4
1.0
6.199 0.000 0.000
0.000 10.492 0.000
0.000 0.000 10.014
Ba Ga N
12 8 16
Direct
0.110 0.155 0.088
0.110 0.345 0.412
0.250 0.000 0.406
0.250 0.500 0.094
0.390 0.655 0.412
0.390 0.845 0.088
0.610 0.155 0.912
0.610 0.345 0.588
0.750 0.000 0.594
0.750 0.500 0.906
0.890 0.655 0.588
0.890 0.845 0.912
0.163 0.250 0.750
0.250 0.000 0.730
0.250 0.500 0.770
0.337 0.750 0.750
0.663 0.250 0.250
0.750 0.000 0.270
0.750 0.500 0.230
0.837 0.750 0.250
0.020 0.096 0.828
0.020 0.404 0.672
0.140 0.647 0.872
0.140 0.853 0.628
0.360 0.147 0.628
0.360 0.353 0.872
0.480 0.596 0.672
0.480 0.904 0.828
0.520 0.096 0.172
0.520 0.404 0.328
0.640 0.647 0.128
0.640 0.853 0.372
0.860 0.147 0.372
0.860 0.353 0.128
0.980 0.596 0.328
0.980 0.904 0.172
```

## Properties
- SG = No. 52
- calculated density (g/cm³) = 6.194
- formation energy without anion corrections (eV per formula unit) = -5.717

Density functional theory data (GGA-PBEsol) for a relaxed structure of BaGa3N.

Cell and atoms, written as POSCAR:
```
BaGa3N
1.0
6.070 0.000 0.000
0.000 6.070 0.000
0.000 0.000 6.070
Ba Ga N
1 3 1
Direct
0.000 0.000 0.000
0.000 0.000 0.500
0.000 0.500 0.000
0.500 0.000 0.000
0.500 0.500 0.500
```

## Properties
- SG = No. 221
- calculated density (g/cm³) = 2.676
- formation energy without anion corrections (eV per formula unit) = 10.071

Density functional theory data (GGA-PBEsol) for a relaxed structure of Ba4GaN3O.

Cell and atoms, written as POSCAR:
```
Ba4GaN3O
1.0
7.704 0.000 0.000
0.000 25.269 0.000
0.000 0.000 7.900
Ba Ga N O
32 8 24 8
Direct
0.002 0.069 0.172
0.002 0.431 0.672
0.061 0.731 0.238
0.061 0.769 0.738
0.124 0.556 0.868
0.124 0.944 0.368
0.196 0.151 0.553
0.196 0.349 0.053
0.304 0.651 0.553
0.304 0.849 0.053
0.376 0.056 0.868
0.376 0.444 0.368
0.439 0.231 0.238
0.439 0.269 0.738
0.498 0.569 0.172
0.498 0.931 0.672
0.502 0.069 0.328
0.502 0.431 0.828
0.561 0.731 0.262
0.561 0.769 0.762
0.624 0.556 0.632
0.624 0.944 0.132
0.696 0.151 0.947
0.696 0.349 0.447
0.804 0.651 0.947
0.804 0.849 0.447
0.876 0.056 0.632
0.876 0.444 0.132
0.939 0.231 0.262
0.939 0.269 0.762
0.998 0.569 0.328
0.998 0.931 0.828
0.192 0.169 0.979
0.192 0.331 0.479
0.308 0.669 0.979
0.308 0.831 0.479
0.692 0.169 0.521
0.692 0.331 0.021
0.808 0.669 0.521
0.808 0.831 0.021
0.041 0.125 0.853
0.041 0.375 0.353
0.166 0.630 0.133
0.166 0.870 0.633
0.199 0.243 0.982
0.199 0.257 0.482
0.301 0.743 0.982
0.301 0.757 0.482
0.334 0.130 0.133
0.334 0.370 0.633
0.459 0.625 0.853
0.459 0.875 0.353
0.541 0.125 0.647
0.541 0.375 0.147
0.666 0.630 0.367
0.666 0.870 0.867
0.699 0.243 0.518
0.699 0.257 0.018
0.801 0.743 0.518
0.801 0.757 0.018
0.834 0.130 0.367
0.834 0.370 0.867
0.959 0.625 0.647
0.959 0.875 0.147
0.181 0.042 0.465
0.181 0.458 0.965
0.319 0.542 0.465
0.319 0.958 0.965
0.681 0.042 0.035
0.681 0.458 0.535
0.819 0.542 0.035
0.819 0.958 0.535
```

## Properties
- SG = No. 61
- calculated density (g/cm³) = 5.848
- formation energy without anion corrections (eV per formula unit) = -8.832

Density functional theory data (GGA-PBEsol) for a relaxed structure of BaGaNO2.

Cell and atoms, written as POSCAR:
```
BaGaNO2
1.0
4.822 0.000 0.000
0.000 4.822 0.000
0.000 0.000 5.187
Ba Ga N O
1 1 1 2
Direct
0.000 0.000 0.000
0.500 0.500 0.500
0.000 0.000 0.500
0.000 0.500 0.000
0.500 0.000 0.000
```

## Properties
- SG = No. 123
- calculated density (g/cm³) = 3.485
- formation energy without anion corrections (eV per formula unit) = 2.891

Density functional theory data (GGA-PBEsol) for a relaxed structure of BaGaN2O.

Cell and atoms, written as POSCAR:
```
BaGaN2O
1.0
5.176 0.000 0.000
0.000 5.176 0.000
0.000 0.000 4.647
Ba Ga N O
1 1 2 1
Direct
0.000 0.000 0.000
0.500 0.500 0.500
0.000 0.500 0.000
0.500 0.000 0.000
0.000 0.000 0.500
```

## Properties
- SG = No. 123
- calculated density (g/cm³) = 3.349
- formation energy without anion corrections (eV per formula unit) = 6.684

Density functional theory data (GGA-PBEsol) for a relaxed structure of BaNa2Ga2.

Cell and atoms, written as POSCAR:
```
BaNa2Ga2
1.0
-2.470 2.470 6.099
2.470 -2.470 6.099
2.470 2.470 -6.099
Ba Na Ga
1 2 2
Direct
0.000 0.000 0.000
0.250 0.750 0.500
0.750 0.250 0.500
0.403 0.403 0.000
0.597 0.597 0.000
```

## Properties
- SG = No. 139
- calculated density (g/cm³) = 3.600
- DFT formation energy (eV per atom) = -0.109

Density functional theory data (GGA-PBEsol) for a relaxed structure of BaNaNbGa2.

Cell and atoms, written as POSCAR:
```
BaNaNbGa2
1.0
5.022 0.000 0.000
0.000 5.022 0.000
0.000 0.000 5.433
Ba Na Nb Ga
1 1 1 2
Direct
0.000 0.000 0.000
0.000 0.000 0.500
0.500 0.500 0.000
0.000 0.500 0.500
0.500 0.000 0.500
```

## Properties
- SG = No. 123
- calculated density (g/cm³) = 4.759
- DFT formation energy (eV per atom) = 1.183

Density functional theory data (GGA-PBEsol) for a relaxed structure of Ba5NaGa2Sb6.

Cell and atoms, written as POSCAR:
```
Ba5NaGa2Sb6
1.0
12.681 0.000 0.000
0.000 10.701 0.000
0.000 0.000 13.956
Ba Na Ga Sb
20 4 8 24
Direct
0.081 0.029 0.247
0.081 0.471 0.247
0.166 0.250 0.817
0.170 0.020 0.538
0.170 0.480 0.538
0.330 0.520 0.038
0.330 0.980 0.038
0.334 0.750 0.317
0.419 0.529 0.747
0.419 0.971 0.747
0.581 0.029 0.253
0.581 0.471 0.253
0.666 0.250 0.683
0.670 0.020 0.962
0.670 0.480 0.962
0.830 0.520 0.462
0.830 0.980 0.462
0.834 0.750 0.183
0.919 0.529 0.753
0.919 0.971 0.753
0.000 0.000 0.000
0.000 0.500 0.000
0.500 0.000 0.500
0.500 0.500 0.500
0.082 0.750 0.923
0.186 0.750 0.698
0.314 0.250 0.198
0.418 0.250 0.423
0.582 0.750 0.577
0.686 0.750 0.802
0.814 0.250 0.302
0.918 0.250 0.077
0.001 0.750 0.586
0.045 0.750 0.383
0.127 0.750 0.115
0.146 0.250 0.069
0.172 0.557 0.825
0.172 0.943 0.825
0.328 0.057 0.325
0.328 0.443 0.325
0.354 0.750 0.569
0.373 0.250 0.615
0.455 0.250 0.883
0.499 0.250 0.086
0.501 0.750 0.914
0.545 0.750 0.117
0.627 0.750 0.385
0.646 0.250 0.431
0.672 0.557 0.675
0.672 0.943 0.675
0.828 0.057 0.175
0.828 0.443 0.175
0.854 0.750 0.931
0.873 0.250 0.885
0.955 0.250 0.617
0.999 0.250 0.414
```

## Properties
- SG = No. 62
- calculated density (g/cm³) = 5.541
- formation energy without anion corrections (eV per formula unit) = -11.208

Density functional theory data (GGA-PBEsol) for a relaxed structure of BaNdGaO4.

Cell and atoms, written as POSCAR:
```
BaNdGaO4
1.0
5.825 0.000 0.000
0.000 7.040 0.000
0.000 0.000 9.920
Ba Nd Ga O
4 4 4 16
Direct
0.004 0.079 0.422
0.496 0.921 0.922
0.504 0.421 0.578
0.996 0.579 0.078
0.012 0.248 0.799
0.488 0.752 0.299
0.512 0.252 0.201
0.988 0.748 0.701
0.012 0.538 0.419
0.488 0.462 0.919
0.512 0.962 0.581
0.988 0.038 0.081
0.002 0.901 0.921
0.179 0.749 0.476
0.244 0.449 0.303
0.244 0.985 0.185
0.256 0.015 0.685
0.256 0.551 0.803
0.321 0.251 0.976
0.498 0.099 0.421
0.502 0.599 0.079
0.679 0.751 0.524
0.744 0.051 0.697
0.744 0.515 0.815
0.756 0.485 0.315
0.756 0.949 0.197
0.821 0.249 0.024
0.998 0.401 0.579
```

## Properties
- SG = No. 19
- calculated density (g/cm³) = 6.781
- formation energy without anion corrections (eV per formula unit) = -19.114

Density functional theory data (GGA-PBEsol) for a relaxed structure of BaGa4O7.

Cell and atoms, written as POSCAR:
```
BaGa4O7
1.0
6.843 -4.701 0.000
6.843 4.701 0.000
-1.464 0.000 5.601
Ba Ga O
2 8 14
Direct
0.189 0.811 0.750
0.811 0.189 0.250
0.086 0.261 0.795
0.261 0.086 0.295
0.316 0.443 0.223
0.443 0.316 0.723
0.557 0.684 0.277
0.684 0.557 0.777
0.739 0.914 0.705
0.914 0.739 0.205
0.085 0.158 0.046
0.132 0.615 0.333
0.158 0.085 0.546
0.253 0.375 0.893
0.375 0.253 0.393
0.385 0.868 0.167
0.475 0.525 0.750
0.525 0.475 0.250
0.615 0.132 0.833
0.625 0.747 0.607
0.747 0.625 0.107
0.842 0.915 0.454
0.868 0.385 0.667
0.915 0.842 0.954
```

## Properties
- SG = No. 15
- calculated density (g/cm³) = 4.868
- formation energy without anion corrections (eV per formula unit) = -25.093

Density functional theory data (GGA-PBEsol) for a relaxed structure of BaGa3O.

Cell and atoms, written as POSCAR:
```
BaGa3O
1.0
4.772 0.000 0.000
0.000 4.772 0.000
0.000 0.000 4.772
Ba Ga O
1 3 1
Direct
0.000 0.000 0.000
0.000 0.500 0.500
0.500 0.000 0.500
0.500 0.500 0.000
0.500 0.500 0.500
```

## Properties
- SG = No. 221
- calculated density (g/cm³) = 5.541
- formation energy without anion corrections (eV per formula unit) = -1.354